Entry 1:
## KZn2InNi (PBE)

Data for an optimized crystal structure of KZn2InNi.

a = 4.846 Å, b = 4.846 Å, c = 4.925 Å
α = 90.00°, β = 90.00°, γ = 90.00°
Fractional positions:
K 0.000 0.000 0.000
Zn 0.000 0.500 0.500
Zn 0.500 0.000 0.500
In 0.500 0.500 0.000
Ni 0.500 0.500 0.500

Computed properties:
theoretical density	4.93	g cm⁻³
space group	P4/mmm, No. 123
ΔE_f	-31	meV per atom

Entry 2:
## KZnIn2Ni (PBE)

Data for an optimized crystal structure of KZnIn2Ni.

a = 5.026 Å, b = 5.026 Å, c = 4.919 Å
α = 90.00°, β = 90.00°, γ = 90.00°
Fractional positions:
K 0.000 0.000 0.000
Zn 0.500 0.500 0.000
In 0.000 0.500 0.500
In 0.500 0.000 0.500
Ni 0.500 0.500 0.500

Computed properties:
theoretical density	5.25	g cm⁻³
space group	P4/mmm, No. 123
ΔE_f	-53	meV per atom

Entry 3:
## KZrInNi2 (PBE)

Data for an optimized crystal structure of KZrInNi2.

a = 4.940 Å, b = 4.940 Å, c = 5.432 Å
α = 90.00°, β = 90.00°, γ = 90.00°
Fractional positions:
K 0.000 0.000 0.000
Zr 0.500 0.500 0.000
In 0.500 0.500 0.500
Ni 0.000 0.500 0.500
Ni 0.500 0.000 0.500

Computed properties:
theoretical density	4.54	g cm⁻³
distance to the lowest polymorph of the same formula	0	kJ/mol of formula units
space group	P4/mmm, No. 123
ΔE_f	1080	meV per atom

Entry 4:
## KZrInNi2 (PBE)

Data for an optimized crystal structure of KZrInNi2.

a = 4.577 Å, b = 4.577 Å, c = 5.067 Å
α = 90.00°, β = 90.00°, γ = 90.00°
Fractional positions:
K 0.000 0.000 0.000
Zr 0.000 0.000 0.500
In 0.500 0.500 0.500
Ni 0.000 0.500 0.000
Ni 0.500 0.000 0.000

Computed properties:
theoretical density	5.67	g cm⁻³
distance to the lowest polymorph of the same formula	301	kJ/mol of formula units
space group	P4/mmm, No. 123
ΔE_f	1704	meV per atom

Entry 5:
## K3Np2InO9 (PBE)

Data for an optimized crystal structure of K3Np2InO9.

a = 6.002 Å, b = 6.002 Å, c = 7.367 Å
α = 90.00°, β = 90.00°, γ = 120.00°
Fractional positions:
K 0.000 0.000 0.000
K 0.333 0.667 0.660
K 0.667 0.333 0.340
Np 0.333 0.667 0.171
Np 0.667 0.333 0.829
In 0.000 0.000 0.500
O 0.000 0.500 0.000
O 0.172 0.345 0.326
O 0.172 0.828 0.326
O 0.345 0.172 0.674
O 0.500 0.000 0.000
O 0.500 0.500 0.000
O 0.655 0.828 0.326
O 0.828 0.172 0.674
O 0.828 0.655 0.674

Computed properties:
theoretical density	6.14	g cm⁻³
space group	P-3m1, No. 164
raw total energy	-7.47	eV/atom

Entry 6:
## K2Np3InO12 (PBE)

Data for an optimized crystal structure of K2Np3InO12.

a = 7.648 Å, b = 7.648 Å, c = 7.648 Å
α = 62.62°, β = 62.62°, γ = 62.62°
Fractional positions:
K 0.149 0.149 0.149
K 0.851 0.851 0.851
Np 0.000 0.500 0.500
Np 0.500 0.000 0.500
Np 0.500 0.500 0.000
In 0.500 0.500 0.500
O 0.169 0.570 0.570
O 0.187 0.187 0.565
O 0.187 0.565 0.187
O 0.430 0.430 0.831
O 0.430 0.831 0.430
O 0.435 0.813 0.813
O 0.565 0.187 0.187
O 0.570 0.169 0.570
O 0.570 0.570 0.169
O 0.813 0.435 0.813
O 0.813 0.813 0.435
O 0.831 0.430 0.430

Computed properties:
theoretical density	5.44	g cm⁻³
space group	R-3m, No. 166
raw total energy	-8.16	eV/atom

Entry 7:
## KNpInO6 (PBE)

Data for an optimized crystal structure of KNpInO6.

a = 5.628 Å, b = 5.628 Å, c = 5.930 Å
α = 90.00°, β = 90.00°, γ = 120.00°
Fractional positions:
K 0.000 0.000 0.000
Np 0.667 0.333 0.500
In 0.333 0.667 0.500
O 0.387 0.025 0.691
O 0.387 0.362 0.309
O 0.638 0.025 0.309
O 0.638 0.613 0.691
O 0.975 0.362 0.691
O 0.975 0.613 0.309

Computed properties:
theoretical density	4.97	g cm⁻³
space group	P312, No. 149
raw total energy	-7.01	eV/atom

Entry 8:
## K3Np2InS6 (PBE)

Data for an optimized crystal structure of K3Np2InS6.

a = 7.254 Å, b = 7.254 Å, c = 7.627 Å
α = 99.16°, β = 99.16°, γ = 119.83°
Fractional positions:
K 0.000 0.000 0.000
K 0.345 0.655 0.000
K 0.655 0.345 0.000
Np 0.168 0.832 0.500
Np 0.832 0.168 0.500
In 0.500 0.500 0.500
S 0.064 0.432 0.298
S 0.200 0.200 0.699
S 0.432 0.064 0.298
S 0.568 0.936 0.702
S 0.800 0.800 0.301
S 0.936 0.568 0.702

Computed properties:
theoretical density	4.52	g cm⁻³
space group	C2/m, No. 12
raw total energy	-5.93	eV/atom